Li3CeBi2Se6 | GGA-PBE | optimized geometry

a b c (Å): 7.2417 7.2417 6.9945
angles (deg): 99.79 99.79 120.09
Fractional positions:
Se: 0.5788 0.9135 0.7378
Li: 0.1805 0.8195 0.5000
Bi: 0.6652 0.3348 0.0000
Li: 0.5000 0.5000 0.5000
Se: 0.9135 0.5788 0.7378
Se: 0.7513 0.7513 0.2643
Li: 0.8195 0.1805 0.5000
Bi: 0.3348 0.6652 0.0000
Se: 0.0865 0.4212 0.2622
Se: 0.2487 0.2487 0.7357
Ce: 0.0000 0.0000 0.0000
Se: 0.4212 0.0865 0.2622

Values from the calculation:
- Formation energy from raw total energies: -1.014 eV/atom
- Size of the total moment: 1.006 μB per cell
- Volume: 24.87 A^3/atom
- SG: C2/m, No. 12